Below is an optimized crystal structure of SnPPd4, with properties calculated at the PBE level.

E = -5.4462 eV/atom
Total magnetization = 0.0 μB/f.u.
DOS(E_F) = 2.9 states/eV/cell
Excess energy over the best structure of this formula in the dataset = 71.3 meV/atom

Cell: 5.6434 5.5477 7.2447 Å, 99.55 112.81 89.98°
Closest atoms and distances in Å follow each position.
Element x y z (fractional)
Pd 0.5196 0.9317 0.1887  1 P 2.27
Pd 0.9144 0.8790 0.6548  2 P 2.32-2.36
Pd 0.0856 0.1210 0.3452  2 P 2.32-2.36
Pd 0.4804 0.0683 0.8113  1 P 2.27
Pd 0.3306 0.5681 0.8109  1 P 2.27
Pd 0.7404 0.3789 0.6544  2 P 2.32-2.36
Pd 0.6694 0.4319 0.1891  1 P 2.27
Pd 0.2596 0.6211 0.3456  2 P 2.32-2.36
Sn 0.8429 0.7501 0.9998  8 Pd 2.77-2.89
Sn 0.1571 0.2499 0.0002  8 Pd 2.77-2.89
P 0.5000 0.0000 0.5000  6 Pd 2.27-2.36
P 0.0000 0.5000 0.5000  6 Pd 2.27-2.36